Here is crystalline YAl2Te at its relaxed geometry from Alexandria via LeMat-Bulk. Energies are from GGA-PBE.

Cell lengths 5.986, 4.180, 4.179 Å; angles 90.74, 90.00, 90.00 degrees
Element x y z (fractional)
Al: 0.000 0.508 0.508
Te: 0.500 0.250 0.250
Y: 0.500 0.750 0.750
Al: 0.000 0.992 0.992

Calculated values
The calculation puts the density of states at the Fermi level at 0.64 states/eV/atom. The crystal system is orthorhombic. The calculation puts the uncorrected formation energy at -0.2203 eV/atom.